[1]
## Sc6TlHg (PBE-GGA)

Data for a geometry-optimized Sc6TlHg structure.

Cell lengths 4.5014, 4.5014, 8.9867 Å; angles 90.00, 90.00, 90.00 degrees
Last column: nearest neighbours and their distance in Å.
Fractional positions:
Sc1 0.5000 0.5000 0.0000  4 Tl 3.18, 8 Sc 3.21
Sc2 0.5000 0.5000 0.5000  8 Sc 3.15, 4 Hg 3.18
Sc3 0.5000 0.0000 0.2540  2 Hg 3.15, 8 Sc 3.15-3.21, 2 Tl 3.21
Sc4 0.5000 0.0000 0.7460  2 Hg 3.15, 8 Sc 3.15-3.21, 2 Tl 3.21
Sc5 0.0000 0.5000 0.2540  2 Hg 3.15, 8 Sc 3.15-3.21, 2 Tl 3.21
Sc6 0.0000 0.5000 0.7460  2 Hg 3.15, 8 Sc 3.15-3.21, 2 Tl 3.21
Tl1 0.0000 0.0000 0.0000  12 Sc 3.18-3.21
Hg1 0.0000 0.0000 0.5000  12 Sc 3.15-3.18

Mass density (g/cm3): 6.153
Total magnetization (μB per formula unit): 2.680
Calculated total energy (eV/atom): -5.30
DOS(E_F) (states/eV per cell): 10.2
Energy relative to the lowest polymorph listed for this composition (meV/atom): 0

***

[2]
## Sc6Tl5Hg (PBE-GGA)

Data for a geometry-optimized Sc6Tl5Hg structure.

Cell lengths 5.0775, 8.7906, 8.7906 Å; angles 119.95, 106.79, 106.79 degrees
Last column: nearest neighbours and their distance in Å.
Fractional positions:
Sc1 0.2479 0.0826 0.4132  1 Hg 3.08, 7 Tl 3.10-3.14
Sc2 0.7521 0.5868 0.9174  1 Hg 3.08, 7 Tl 3.10-3.14
Sc3 0.7457 0.2457 0.2457  6 Tl 3.08-3.13, 2 Hg 3.09
Sc4 0.2543 0.7543 0.7543  6 Tl 3.08-3.13, 2 Hg 3.09
Sc5 0.2479 0.4132 0.0826  1 Hg 3.08, 7 Tl 3.10-3.14
Sc6 0.7521 0.9174 0.5868  1 Hg 3.08, 7 Tl 3.10-3.14
Tl1 0.5000 0.1661 0.8339  8 Sc 3.08-3.14
Tl2 0.0000 0.3342 0.6658  8 Sc 3.12-3.13
Tl3 0.5000 0.5000 0.5000  8 Sc 3.10-3.13
Tl4 0.0000 0.6658 0.3342  8 Sc 3.12-3.13
Tl5 0.5000 0.8339 0.1661  8 Sc 3.08-3.14
Hg1 0.0000 0.0000 0.0000  8 Sc 3.08-3.09

Mass density (g/cm3): 8.926
Total magnetization (μB per formula unit): 0.159
Calculated total energy (eV/atom): -4.46
DOS(E_F) (states/eV per cell): 12.6

***

[3]
## ScTlHg (PBE-GGA)

Data for a geometry-optimized ScTlHg structure.

Cell lengths 4.8479, 4.8482, 6.9968 Å; angles 90.00, 90.00, 120.00 degrees
Last column: nearest neighbours and their distance in Å.
Fractional positions:
Sc1 0.3820 0.3364 0.8082  6 Hg 3.06
Sc2 0.3819 0.3364 0.3082  6 Tl 3.10
Tl1 0.0486 0.6697 0.1190  3 Hg 2.95, 3 Sc 3.10
Tl2 0.7154 0.0031 0.4977  3 Hg 2.95, 3 Sc 3.10
Hg1 0.0487 0.6698 0.6329  3 Tl 2.95, 3 Sc 3.06
Hg2 0.7154 0.0031 0.9838  3 Tl 2.95, 3 Sc 3.06

Mass density (g/cm3): 10.492
Total magnetization (μB per formula unit): 0.000
Calculated total energy (eV/atom): -3.16
DOS(E_F) (states/eV per cell): 4.6
Energy relative to the lowest polymorph listed for this composition (meV/atom): 54

***

[4]
## ScTlHg (PBE-GGA)

Data for a geometry-optimized ScTlHg structure.

Cell lengths 6.7348, 6.4188, 3.5452 Å; angles 89.96, 105.25, 80.85 degrees
Last column: nearest neighbours and their distance in Å.
Fractional positions:
Sc1 0.0528 0.3270 0.7851  4 Hg 2.95-3.30, 4 Tl 3.11-3.20
Sc2 0.4095 0.9627 0.4638  4 Hg 2.95-3.30, 4 Tl 3.11-3.21
Tl1 0.7311 0.6446 0.1244  4 Sc 3.20-3.21, 4 Tl 3.21-3.55, 4 Hg 3.31
Tl2 0.7312 0.1446 0.1245  4 Sc 3.11, 2 Tl 3.21, 4 Hg 3.31-3.32
Hg1 0.3735 0.4552 0.4455  4 Sc 2.95-3.30
Hg2 0.0888 0.8343 0.8034  4 Sc 2.95-3.30

Mass density (g/cm3): 10.246
Total magnetization (μB per formula unit): 0.000
Calculated total energy (eV/atom): -3.18
DOS(E_F) (states/eV per cell): 4.0
Energy relative to the lowest polymorph listed for this composition (meV/atom): 27

***

[5]
## Sc12Tl3Hg (PBE-GGA)

Data for a geometry-optimized Sc12Tl3Hg structure.

Cell lengths 4.5133, 4.5133, 18.0482 Å; angles 90.00, 90.00, 90.00 degrees
Last column: nearest neighbours and their distance in Å.
Fractional positions:
Sc1 0.5000 0.5000 0.0000  8 Sc 3.16, 4 Hg 3.19
Sc2 0.5000 0.5000 0.2485  4 Tl 3.19, 8 Sc 3.20-3.21
Sc3 0.5000 0.5000 0.5000  4 Tl 3.19, 8 Sc 3.20
Sc4 0.5000 0.5000 0.7515  4 Tl 3.19, 8 Sc 3.20-3.21
Sc5 0.5000 0.0000 0.1223  8 Sc 3.16-3.21, 2 Hg 3.16, 2 Tl 3.20
Sc6 0.5000 0.0000 0.3744  8 Sc 3.19-3.20, 4 Tl 3.20-3.21
Sc7 0.5000 0.0000 0.6256  8 Sc 3.19-3.20, 4 Tl 3.20-3.21
Sc8 0.5000 0.0000 0.8777  8 Sc 3.16-3.21, 2 Hg 3.16, 2 Tl 3.20
Sc9 0.0000 0.5000 0.1223  8 Sc 3.16-3.21, 2 Hg 3.16, 2 Tl 3.20
Sc10 0.0000 0.5000 0.3744  8 Sc 3.19-3.20, 4 Tl 3.20-3.21
Sc11 0.0000 0.5000 0.6256  8 Sc 3.19-3.20, 4 Tl 3.20-3.21
Sc12 0.0000 0.5000 0.8777  8 Sc 3.16-3.21, 2 Hg 3.16, 2 Tl 3.20
Tl1 0.0000 0.0000 0.2481  12 Sc 3.19-3.21
Tl2 0.0000 0.0000 0.5000  12 Sc 3.19-3.20
Tl3 0.0000 0.0000 0.7519  12 Sc 3.19-3.21
Hg1 0.0000 0.0000 0.0000  12 Sc 3.16-3.19

Mass density (g/cm3): 6.112
Total magnetization (μB per formula unit): 6.045
Calculated total energy (eV/atom): -5.42
DOS(E_F) (states/eV per cell): 19.7

***

[6]
## Sc2Tl2Hg (PBE-GGA)

Data for a geometry-optimized Sc2Tl2Hg structure.

Cell lengths 7.8044, 7.8044, 4.1471 Å; angles 90.00, 90.00, 90.00 degrees
Last column: nearest neighbours and their distance in Å.
Fractional positions:
Sc1 0.3466 0.8466 0.0000  2 Hg 2.96, 6 Tl 2.99-3.15
Sc2 0.8466 0.6534 0.0000  2 Hg 2.96, 6 Tl 2.99-3.15
Sc3 0.6534 0.1534 0.0000  2 Hg 2.96, 6 Tl 2.99-3.15
Sc4 0.1534 0.3466 0.0000  2 Hg 2.96, 6 Tl 2.99-3.15
Tl1 0.1511 0.6511 0.5000  6 Sc 2.99-3.15, 1 Tl 3.34
Tl2 0.6511 0.8489 0.5000  6 Sc 2.99-3.15, 1 Tl 3.34
Tl3 0.8489 0.3489 0.5000  6 Sc 2.99-3.15, 1 Tl 3.34
Tl4 0.3489 0.1511 0.5000  6 Sc 2.99-3.15, 1 Tl 3.34
Hg1 0.0000 0.0000 0.0000  4 Sc 2.96
Hg2 0.5000 0.5000 0.0000  4 Sc 2.96

Mass density (g/cm3): 9.194
Total magnetization (μB per formula unit): 0.000
Calculated total energy (eV/atom): -3.68
DOS(E_F) (states/eV per cell): 6.8
Energy relative to the lowest polymorph listed for this composition (meV/atom): 48

***

[7]
## ScTlHg (PBE-GGA)

Data for a geometry-optimized ScTlHg structure.

Cell lengths 6.3376, 4.5845, 6.1789 Å; angles 67.62, 118.41, 90.53 degrees
Last column: nearest neighbours and their distance in Å.
Fractional positions:
Sc1 0.6105 0.6821 0.0749  3 Hg 2.94-3.12, 4 Tl 3.05-3.23
Sc2 0.7940 0.3409 0.7654  4 Hg 2.95-3.20, 2 Tl 3.09
Tl1 0.9417 0.0081 0.4215  4 Sc 3.05-3.41, 4 Hg 3.10-3.25
Tl2 0.1383 0.6658 0.1159  4 Hg 3.08-3.42, 4 Sc 3.09-3.23
Hg1 0.2949 0.3311 0.7773  4 Sc 2.94-3.20, 2 Tl 3.12-3.13
Hg2 0.4756 0.9905 0.4683  3 Sc 2.95-3.12, 4 Tl 3.08-3.25

Mass density (g/cm3): 10.470
Total magnetization (μB per formula unit): 0.000
Calculated total energy (eV/atom): -3.19
DOS(E_F) (states/eV per cell): 3.3
Energy relative to the lowest polymorph listed for this composition (meV/atom): 23

***

[8]
## Sc4Tl3Hg (PBE-GGA)

Data for a geometry-optimized Sc4Tl3Hg structure.

Cell lengths 5.0406, 5.0406, 8.0679 Å; angles 108.25, 108.25, 90.03 degrees
Last column: nearest neighbours and their distance in Å.
Fractional positions:
Sc1 0.3767 0.3768 0.7534  2 Hg 3.09, 6 Tl 3.09-3.14
Sc2 0.6232 0.6232 0.2466  2 Hg 3.09, 6 Tl 3.09-3.14
Sc3 0.1232 0.1233 0.2466  2 Hg 3.09, 6 Tl 3.09-3.14
Sc4 0.8768 0.8767 0.7534  2 Hg 3.09, 6 Tl 3.09-3.14
Tl1 0.0000 0.5000 0.0000  8 Sc 3.09
Tl2 0.7477 0.2477 0.4955  8 Sc 3.10-3.14
Tl3 0.2523 0.7523 0.5045  8 Sc 3.10-3.14
Hg1 0.5000 0.0000 0.0000  8 Sc 3.09

Mass density (g/cm3): 8.977
Total magnetization (μB per formula unit): 0.667
Calculated total energy (eV/atom): -4.39
DOS(E_F) (states/eV per cell): 7.5

***

[9]
## ScTlHg (PBE-GGA)

Data for a geometry-optimized ScTlHg structure.

Cell lengths 4.5790, 6.1314, 6.3691 Å; angles 118.10, 90.31, 67.70 degrees
Last column: nearest neighbours and their distance in Å.
Fractional positions:
Sc1 0.6035 0.6127 0.8531  3 Hg 2.93-3.18, 4 Tl 3.08-3.24
Sc2 0.9404 0.9345 0.6880  3 Hg 2.94-3.18, 4 Tl 3.08-3.24
Tl1 0.6072 0.6011 0.3393  4 Sc 3.08-3.24, 3 Hg 3.11-3.44, 3 Tl 3.36-3.42
Tl2 0.9366 0.9462 0.2018  4 Sc 3.08-3.24, 3 Hg 3.11-3.44, 3 Tl 3.36-3.42
Hg1 0.2885 0.2372 0.9958  3 Sc 2.94-3.18, 1 Hg 3.10, 2 Tl 3.11-3.12
Hg2 0.2553 0.3101 0.5453  3 Sc 2.93-3.18, 1 Hg 3.10, 2 Tl 3.11-3.12

Mass density (g/cm3): 10.477
Total magnetization (μB per formula unit): 0.000
Calculated total energy (eV/atom): -3.18
DOS(E_F) (states/eV per cell): 3.3
Energy relative to the lowest polymorph listed for this composition (meV/atom): 26

***

[10]
## Sc8TlHg2 (PBE-GGA)

Data for a geometry-optimized Sc8TlHg2 structure.

Cell lengths 5.0835, 8.0083, 8.0083 Å; angles 118.17, 101.13, 101.13 degrees
Last column: nearest neighbours and their distance in Å.
Fractional positions:
Sc1 0.8812 0.9013 0.6746  2 Hg 2.89-3.08, 3 Sc 3.11-3.24
Sc2 0.8812 0.6746 0.9013  2 Hg 2.89-3.08, 3 Sc 3.11-3.24
Sc3 0.2973 0.5952 0.5952  2 Sc 2.83-3.02, 2 Hg 3.04, 1 Tl 3.10
Sc4 0.5000 0.7792 0.2208  2 Hg 2.79, 1 Tl 3.03
Sc5 0.5000 0.2208 0.7792  2 Hg 2.79, 1 Tl 3.03
Sc6 0.7027 0.4048 0.4048  2 Sc 2.83-3.02, 2 Hg 3.04, 1 Tl 3.10
Sc7 0.1188 0.3254 0.0987  2 Hg 2.89-3.08, 3 Sc 3.11-3.24
Sc8 0.1188 0.0987 0.3254  2 Hg 2.89-3.08, 3 Sc 3.11-3.24
Tl1 0.5000 0.0000 0.0000  8 Sc 3.03-3.35
Hg1 0.0000 0.3039 0.6961  8 Sc 2.79-3.08
Hg2 0.0000 0.6961 0.3039  8 Sc 2.79-3.08

Mass density (g/cm3): 6.018
Total magnetization (μB per formula unit): 0.013
Calculated total energy (eV/atom): -4.99
DOS(E_F) (states/eV per cell): 16.3

***

[11]
## Sc7Tl2Hg2 (PBE-GGA)

Data for a geometry-optimized Sc7Tl2Hg2 structure.

Cell lengths 6.4849, 7.2122, 6.4849 Å; angles 90.00, 108.51, 90.00 degrees
Last column: nearest neighbours and their distance in Å.
Fractional positions:
Sc1 0.9998 0.2814 0.5003  2 Hg 2.80, 2 Tl 3.10
Sc2 0.5003 0.7186 0.9998  2 Hg 2.80, 2 Tl 3.10
Sc3 0.0002 0.7186 0.4997  2 Hg 2.80, 2 Tl 3.10
Sc4 0.4997 0.2814 0.0002  2 Hg 2.80, 2 Tl 3.10
Sc5 0.0000 0.0000 0.0000  2 Hg 3.03
Sc6 0.5002 0.7482 0.4998  2 Hg 2.88, 2 Tl 2.95
Sc7 0.4998 0.2518 0.5002  2 Hg 2.88, 2 Tl 2.95
Tl1 0.8097 0.5000 0.8097  1 Tl 2.88, 6 Sc 2.95-3.10
Tl2 0.1903 0.5000 0.1903  1 Tl 2.88, 6 Sc 2.95-3.10
Hg1 0.7123 0.0000 0.2877  7 Sc 2.80-3.03
Hg2 0.2877 0.0000 0.7123  7 Sc 2.80-3.03

Mass density (g/cm3): 6.493
Total magnetization (μB per formula unit): 0.000
Calculated total energy (eV/atom): -4.51
DOS(E_F) (states/eV per cell): 10.4

***

[12]
## Sc6TlHg (PBE-GGA)

Data for a geometry-optimized Sc6TlHg structure.

Cell lengths 5.1698, 5.1698, 8.6031 Å; angles 74.70, 74.70, 73.77 degrees
Last column: nearest neighbours and their distance in Å.
Fractional positions:
Sc1 0.0738 0.5655 0.2956  1 Hg 2.95, 4 Sc 3.05-3.28, 2 Tl 3.06-3.08
Sc2 0.5655 0.0738 0.2956  1 Hg 2.95, 4 Sc 3.05-3.28, 2 Tl 3.06-3.08
Sc3 0.4345 0.9262 0.7044  1 Hg 2.95, 4 Sc 3.05-3.28, 2 Tl 3.06-3.08
Sc4 0.9262 0.4345 0.7044  1 Hg 2.95, 4 Sc 3.05-3.28, 2 Tl 3.06-3.08
Sc5 0.3509 0.3509 0.9499  1 Hg 2.79, 1 Sc 2.87
Sc6 0.6491 0.6491 0.0501  1 Hg 2.79, 1 Sc 2.87
Tl1 0.5000 0.5000 0.5000  8 Sc 3.06-3.08
Hg1 0.0000 0.0000 0.0000  6 Sc 2.79-2.95

Mass density (g/cm3): 5.376
Total magnetization (μB per formula unit): 0.000
Calculated total energy (eV/atom): -5.01
DOS(E_F) (states/eV per cell): 12.1
Energy relative to the lowest polymorph listed for this composition (meV/atom): 281

***

[13]
## Sc4TlHg (PBE-GGA)

Data for a geometry-optimized Sc4TlHg structure.

Cell lengths 5.9001, 5.9001, 5.9001 Å; angles 60.00, 60.00, 60.00 degrees
Last column: nearest neighbours and their distance in Å.
Fractional positions:
Sc1 0.3752 0.8743 0.3752  6 Sc 2.94-2.96
Sc2 0.8743 0.3752 0.3752  6 Sc 2.94-2.96
Sc3 0.3752 0.3752 0.8743  6 Sc 2.94-2.96
Sc4 0.3752 0.3752 0.3752  6 Sc 2.94-2.96
Tl1 0.7500 0.7500 0.7500  12 Sc 3.46, 4 Hg 3.61
Hg1 0.0000 0.0000 0.0000  12 Sc 3.46, 4 Tl 3.61

Mass density (g/cm3): 6.686
Total magnetization (μB per formula unit): 0.000
Calculated total energy (eV/atom): -4.49
DOS(E_F) (states/eV per cell): 7.7
Energy relative to the lowest polymorph listed for this composition (meV/atom): 414